The following is a PBE calculation of an optimized crystal structure of ScAlCl2, from Alexandria.

Unit cell a=8.1195 b=8.1195 c=8.1195 alpha=135.66 beta=135.66 gamma=64.51
Last column: nearest neighbours and their distance in Å.
Element x y z (fractional)
Sc  0.0000  0.0000  0.0000  4 Cl 2.45
Sc  0.7500  0.2500  0.5000  4 Cl 2.45
Al  0.2500  0.7500  0.5000  4 Cl 3.20
Al  0.5000  0.5000  0.0000  4 Cl 3.20
Cl  0.0110  0.6250  0.8860  2 Sc 2.45
Cl  0.3750  0.2610  0.3860  2 Sc 2.45
Cl  0.7390  0.1250  0.1140  2 Sc 2.45
Cl  0.8750  0.9890  0.6140  2 Sc 2.45

Properties
Total DFT energy (no corrections) in eV/atom: -3.978
Volume in Å³ per cell: 257.9
Space group: No. 122
Energy relative to the elements, uncorrected in eV/atom: -0.5363